Below is a relaxed KZn2AgI crystal, with properties calculated at the PBE level.

a = 6.1684 Å, b = 6.2113 Å, c = 6.1684 Å
α = 90.00°, β = 90.00°, γ = 90.00°
Closest atoms and distances in Å follow each position.
Sites, in units of the cell vectors:
I1 0.5000 0.5000 0.5000  4 Ag 4.36, 8 Zn 4.38
K1 0.0000 0.0000 0.0000  4 Zn 3.08, 2 Ag 3.11
Ag1 0.0000 0.5000 0.0000  2 K 3.11
Zn1 0.5000 0.0000 0.0000  2 K 3.08
Zn2 0.0000 0.0000 0.5000  2 K 3.08

Results
Raw formation energy, meV per atom: 594
Symmetry: No. 123
E_tot, eV/atom: -1.015